K2LiTl3 | PBE | optimized geometry

Summary:
The total magnetization comes out at 0.000 Bohr magnetons per cell.

Cell lengths 6.662, 6.662, 6.428 Å; angles 90.38, 120.64, 120.12 degrees
Atoms (fractional coordinates):
K (0.755, 0.377, 0.132)
K (0.245, 0.623, 0.868)
Li (0.000, 0.000, 0.000)
Tl (0.500, 0.500, 0.500)
Tl (0.000, 0.000, 0.500)
Tl (0.500, 0.000, 0.500)


KLi3Tl | PBE | optimized geometry

Summary:
The total magnetization comes out at 0.000 Bohr magnetons per cell. The calculation puts the polymorph energy (0 for the lowest one) at 0.589 eV per atom.

Cell lengths 5.614, 5.614, 5.614 Å; angles 90.00, 90.00, 90.00 degrees
Atoms (fractional coordinates):
Tl (0.500, 0.500, 0.500)
K (0.000, 0.000, 0.000)
Li (0.000, 0.500, 0.000)
Li (0.000, 0.000, 0.500)
Li (0.500, 0.000, 0.000)


KLiTl | PBE | optimized geometry

Summary:
The total magnetization comes out at 0.000 Bohr magnetons per cell. The calculation puts the polymorph energy (0 for the lowest one) at 0.084 eV per atom.

Cell lengths 5.702, 5.702, 3.378 Å; angles 90.00, 90.00, 120.00 degrees
Atoms (fractional coordinates):
K (0.000, 0.000, 0.001)
Li (0.667, 0.333, 0.500)
Tl (0.333, 0.667, 0.499)


K2LiTl12 | PBE | optimized geometry

Summary:
The total magnetization comes out at 0.000 Bohr magnetons per cell.

Cell lengths 7.019, 7.019, 20.173 Å; angles 90.00, 90.00, 90.00 degrees
Atoms (fractional coordinates):
K (0.500, 0.000, 0.248)
K (0.000, 0.500, 0.248)
K (0.000, 0.500, 0.752)
K (0.500, 0.000, 0.752)
Li (0.500, 0.000, 0.000)
Li (0.000, 0.500, 0.000)
Tl (0.500, 0.500, 0.820)
Tl (0.000, 0.000, 0.820)
Tl (0.749, 0.751, 0.921)
Tl (0.249, 0.749, 0.921)
Tl (0.000, 0.000, 0.336)
Tl (0.251, 0.751, 0.079)
Tl (0.833, 0.333, 0.567)
Tl (0.500, 0.500, 0.336)
Tl (0.251, 0.249, 0.921)
Tl (0.751, 0.749, 0.079)
Tl (0.333, 0.167, 0.567)
Tl (0.667, 0.167, 0.433)
Tl (0.000, 0.000, 0.664)
Tl (0.167, 0.333, 0.433)
Tl (0.249, 0.251, 0.079)
Tl (0.833, 0.667, 0.433)
Tl (0.667, 0.833, 0.567)
Tl (0.000, 0.000, 0.180)
Tl (0.167, 0.667, 0.567)
Tl (0.500, 0.500, 0.664)
Tl (0.751, 0.251, 0.921)
Tl (0.500, 0.500, 0.180)
Tl (0.333, 0.833, 0.433)
Tl (0.749, 0.249, 0.079)


KLiTl | PBE | optimized geometry

Summary:
The total magnetization comes out at 0.000 Bohr magnetons per cell. The calculation puts the polymorph energy (0 for the lowest one) at 0.000 eV per atom.

Cell lengths 5.175, 5.175, 7.680 Å; angles 90.00, 90.00, 90.00 degrees
Atoms (fractional coordinates):
K (0.000, 0.500, 0.846)
K (0.500, 0.000, 0.154)
Tl (0.000, 0.500, 0.345)
Tl (0.500, 0.000, 0.655)
Li (0.500, 0.500, 0.500)
Li (0.000, 0.000, 0.500)


K3Li2Tl7 | PBE | optimized geometry

Summary:
The total magnetization comes out at 0.000 Bohr magnetons per cell.

Cell lengths 6.678, 6.678, 10.581 Å; angles 71.60, 71.60, 60.00 degrees
Atoms (fractional coordinates):
K (0.000, 0.000, 0.000)
K (0.858, 0.858, 0.427)
K (0.142, 0.142, 0.573)
Li (0.666, 0.666, 0.002)
Li (0.334, 0.334, 0.998)
Tl (0.500, 0.500, 0.500)
Tl (0.928, 0.422, 0.228)
Tl (0.422, 0.928, 0.228)
Tl (0.422, 0.422, 0.228)
Tl (0.072, 0.578, 0.772)
Tl (0.578, 0.578, 0.772)
Tl (0.578, 0.072, 0.772)


KLi3Tl | PBE | optimized geometry

Summary:
The total magnetization comes out at 0.000 Bohr magnetons per cell. The calculation puts the polymorph energy (0 for the lowest one) at 0.000 eV per atom.

Cell lengths 5.421, 5.421, 5.421 Å; angles 90.00, 90.00, 90.00 degrees
Atoms (fractional coordinates):
Tl (0.000, 0.000, 0.000)
K (0.500, 0.500, 0.500)
Li (0.000, 0.500, 0.000)
Li (0.000, 0.000, 0.500)
Li (0.500, 0.000, 0.000)


K2Li7Tl12 | PBE | optimized geometry

Summary:
The total magnetization comes out at 0.000 Bohr magnetons per cell.

Cell lengths 4.894, 11.517, 11.517 Å; angles 120.00, 90.00, 90.00 degrees
Atoms (fractional coordinates):
K (0.247, 0.333, 0.667)
K (0.753, 0.667, 0.333)
Li (0.500, 0.000, 0.000)
Li (0.262, 0.891, 0.276)
Li (0.262, 0.385, 0.109)
Li (0.262, 0.724, 0.615)
Li (0.738, 0.109, 0.724)
Li (0.738, 0.615, 0.891)
Li (0.738, 0.276, 0.385)
Tl (0.248, 0.606, 0.058)
Tl (0.248, 0.451, 0.394)
Tl (0.248, 0.942, 0.549)
Tl (0.752, 0.394, 0.942)
Tl (0.752, 0.549, 0.606)
Tl (0.752, 0.058, 0.451)
Tl (0.234, 0.130, 0.256)
Tl (0.234, 0.126, 0.870)
Tl (0.234, 0.744, 0.874)
Tl (0.766, 0.870, 0.744)
Tl (0.766, 0.874, 0.130)
Tl (0.766, 0.256, 0.126)


K3LiTl4 | PBE | optimized geometry

Summary:
The total magnetization comes out at 0.000 Bohr magnetons per cell.

Cell lengths 5.392, 11.159, 6.620 Å; angles 123.11, 114.03, 90.00 degrees
Atoms (fractional coordinates):
K (0.830, 0.231, 0.622)
K (0.019, 0.000, 0.000)
K (0.208, 0.769, 0.378)
Tl (0.811, 0.603, 0.585)
Tl (0.226, 0.397, 0.415)
Tl (0.533, 0.241, 0.028)
Tl (0.505, 0.759, 0.972)
Li (0.519, 0.500, 0.000)


K2LiTl | PBE | optimized geometry

Summary:
The total magnetization comes out at 0.000 Bohr magnetons per cell. The calculation puts the polymorph energy (0 for the lowest one) at 0.093 eV per atom.

Cell lengths 6.440, 6.440, 6.440 Å; angles 130.11, 130.11, 73.23 degrees
Atoms (fractional coordinates):
K (0.000, 0.000, 0.000)
K (0.250, 0.750, 0.500)
Li (0.500, 0.500, 0.000)
Tl (0.750, 0.250, 0.500)


KLiTl11 | PBE | optimized geometry

Summary:
The total magnetization comes out at 0.000 Bohr magnetons per cell.

Cell lengths 6.297, 8.463, 8.613 Å; angles 83.52, 68.56, 72.03 degrees
Atoms (fractional coordinates):
K (0.000, 0.000, 0.000)
Li (0.500, 0.500, 0.000)
Tl (0.300, 0.220, 0.207)
Tl (0.700, 0.780, 0.793)
Tl (0.493, 0.780, 0.207)
Tl (0.507, 0.220, 0.793)
Tl (0.358, 0.639, 0.645)
Tl (0.642, 0.361, 0.355)
Tl (0.997, 0.361, 0.645)
Tl (0.003, 0.639, 0.355)
Tl (0.000, 0.500, 0.000)
Tl (0.500, 0.000, 0.500)
Tl (0.000, 0.000, 0.500)


K3LiTl | PBE | optimized geometry

Summary:
The total magnetization comes out at 0.000 Bohr magnetons per cell. The calculation puts the polymorph energy (0 for the lowest one) at 0.000 eV per atom.

Cell lengths 6.824, 6.824, 6.824 Å; angles 90.00, 90.00, 90.00 degrees
Atoms (fractional coordinates):
Tl (0.000, 0.000, 0.000)
K (0.000, 0.500, 0.000)
K (0.000, 0.000, 0.500)
K (0.500, 0.000, 0.000)
Li (0.500, 0.500, 0.500)


no.,energy of formation from the pure elements (eV per formula unit),DOS at the Fermi energy (states/eV per cell)
1,-0.6,2.76
2,2.9,2.86
3,0.0,1.76
4,-0.3,17.00
5,-0.2,2.85
6,-1.3,8.06
7,0.0,4.38
8,-2.2,5.78
9,-0.7,4.07
10,0.2,3.58
11,-0.5,6.81
12,1.2,5.05